Material: Rb2PuPaO6
Method: DFT, PBE
State: relaxed

POSCAR file:
```
Rb2PuPaO6
1.0
-3.5456 -1.6988 -1.8930
2.3326 -0.8774 -3.5818
2.0301 -7.8542 3.2460
Pa O Rb Pu
1 6 2 1
direct
0.5000 0.5000 0.0000 Pa
0.0000 0.5000 0.0000 O
0.5000 0.5000 0.7466 O
0.5000 0.0000 0.0000 O
0.5000 0.5000 0.2534 O
0.5000 0.0000 0.5000 O
0.0000 0.5000 0.5000 O
0.0000 0.0000 0.2564 Rb
0.0000 0.0000 0.7436 Rb
0.5000 0.5000 0.5000 Pu
```

Calculated values
Size of the total moment = 3.00 μB per cell
Formation energy (no corrections) = -2.82 eV/atom
N(E_F) = 5.2 states/eV/f.u.